Entry 1:
! PBEsol Ba3In4Cu3O12, relaxed; values from VASP
! - Uncorrected formation energy: -1.6065 eV per atom
! - Space-group type: I4/mcm
&SYSTEM
  ibrav = 0, nat = 44, ntyp = 4
/
ATOMIC_SPECIES
O 16.00 O.upf
Ba 137.33 Ba.upf
Cu 63.55 Cu.upf
In 114.82 In.upf
CELL_PARAMETERS angstrom
8.497 0.000 0.000
4.249 8.588 0.000
4.249 0.000 8.588
ATOMIC_POSITIONS angstrom
O 2.124 0.000 2.227
O 10.424 2.356 4.294
O 6.176 4.294 2.356
O 8.497 2.318 2.337
O 10.621 6.361 0.000
O 10.621 0.000 6.361
O 6.373 0.000 2.227
O 10.819 4.294 6.232
O 12.746 2.337 6.271
O 4.249 6.251 2.318
O 8.497 6.271 6.251
O 6.570 6.232 4.294
O 6.373 0.000 6.361
O 10.819 4.294 2.356
O 2.124 2.227 0.000
O 8.497 2.318 6.251
O 6.373 6.361 0.000
O 10.424 6.232 4.294
O 8.497 6.271 2.337
O 6.373 2.227 0.000
O 6.176 4.294 6.232
O 4.249 2.337 2.318
O 6.570 2.356 4.294
O 12.746 6.251 6.271
Ba 0.000 0.000 0.000
Ba 8.497 4.294 0.479
Ba 4.249 0.479 4.294
Ba 8.497 4.294 8.110
Ba 12.746 8.110 4.294
Ba 4.249 0.000 0.000
Cu 8.497 6.046 4.294
Cu 6.373 4.294 4.294
Cu 12.746 4.294 6.046
Cu 10.621 4.294 4.294
Cu 4.249 4.294 2.542
Cu 8.497 2.542 4.294
In 14.870 6.499 6.499
In 6.373 6.499 2.089
In 6.373 2.089 2.089
In 10.621 6.499 2.089
In 2.124 2.089 2.089
In 10.621 6.499 6.499
In 6.373 2.089 6.499
In 10.621 2.089 6.499



Entry 2:
! PBEsol BaTl2InCu, relaxed; values from VASP
! - Formation enthalpy at 0 K: 0.575 eV/atom
! - Space-group type: P4/mmm
&SYSTEM
  ibrav = 0, nat = 5, ntyp = 4
/
ATOMIC_SPECIES
In 114.82 In.upf
Tl 204.38 Tl.upf
Cu 63.55 Cu.upf
Ba 137.33 Ba.upf
CELL_PARAMETERS angstrom
5.518 0.000 0.000
0.000 5.518 0.000
0.000 0.000 6.706
ATOMIC_POSITIONS angstrom
In 0.000 0.000 0.000
Tl 2.759 0.000 0.000
Tl 0.000 2.759 0.000
Cu 2.759 2.759 3.353
Ba 0.000 0.000 3.353



Entry 3:
! PBEsol BaCu2Ir, relaxed; values from VASP
! - Formation enthalpy at 0 K: 0.021 eV/atom
! - E above lowest polymorph: 0.004 eV per atom
! - Space-group type: R3m
&SYSTEM
  ibrav = 0, nat = 4, ntyp = 3
/
ATOMIC_SPECIES
Cu 63.55 Cu.upf
Ba 137.33 Ba.upf
Ir 192.22 Ir.upf
CELL_PARAMETERS angstrom
-2.027 -0.171 -3.769
1.780 -2.075 -3.297
-2.556 -5.315 -0.818
ATOMIC_POSITIONS angstrom
Cu -1.990 -4.270 -1.170
Cu -1.998 -5.477 -5.978
Ba -0.648 -1.793 -2.004
Ir -1.829 -4.570 -3.676



Entry 4:
! PBEsol Ba2CuIr, relaxed; values from VASP
! - Formation enthalpy at 0 K: -0.010 eV/atom
! - E above lowest polymorph: 0.000 eV per atom
! - Space-group type: Amm2
&SYSTEM
  ibrav = 0, nat = 4, ntyp = 3
/
ATOMIC_SPECIES
Ir 192.22 Ir.upf
Ba 137.33 Ba.upf
Cu 63.55 Cu.upf
CELL_PARAMETERS angstrom
4.534 0.000 0.000
0.000 4.603 0.000
0.000 -2.302 5.503
ATOMIC_POSITIONS angstrom
Ir 2.267 2.302 2.271
Ba 0.000 0.000 1.166
Ba 2.267 0.000 4.341
Cu 0.000 2.302 3.241



Entry 5:
! PBEsol BaCu2Ir, relaxed; values from VASP
! - Formation enthalpy at 0 K: 0.018 eV/atom
! - E above lowest polymorph: 0.000 eV per atom
! - Space-group type: R-3m
&SYSTEM
  ibrav = 0, nat = 4, ntyp = 3
/
ATOMIC_SPECIES
Ir 192.22 Ir.upf
Ba 137.33 Ba.upf
Cu 63.55 Cu.upf
CELL_PARAMETERS angstrom
-0.693 -2.494 -3.397
1.432 -4.023 -0.023
-4.360 -3.824 1.012
ATOMIC_POSITIONS angstrom
Ir -1.810 -5.170 -1.204
Ba 0.000 0.000 0.000
Cu -1.779 -2.898 -0.194
Cu -1.841 -7.442 -2.214



Entry 6:
! PBEsol BaCu2Ir, relaxed; values from VASP
! - Formation enthalpy at 0 K: 0.601 eV/atom
! - E above lowest polymorph: 0.583 eV per atom
! - Space-group type: P4/mmm
&SYSTEM
  ibrav = 0, nat = 4, ntyp = 3
/
ATOMIC_SPECIES
Cu 63.55 Cu.upf
Ir 192.22 Ir.upf
Ba 137.33 Ba.upf
CELL_PARAMETERS angstrom
3.788 0.000 0.000
0.000 4.351 0.000
0.000 0.000 4.351
ATOMIC_POSITIONS angstrom
Cu 0.000 0.000 2.176
Cu 0.000 2.176 0.000
Ir 1.894 2.176 2.176
Ba 1.894 0.000 0.000



Entry 7:
! PBEsol Ba2CuIr, relaxed; values from VASP
! - Formation enthalpy at 0 K: 0.398 eV/atom
! - E above lowest polymorph: 0.408 eV per atom
! - Space-group type: P4/mmm
&SYSTEM
  ibrav = 0, nat = 4, ntyp = 3
/
ATOMIC_SPECIES
Ba 137.33 Ba.upf
Cu 63.55 Cu.upf
Ir 192.22 Ir.upf
CELL_PARAMETERS angstrom
4.475 0.000 0.000
0.000 4.475 0.000
0.000 0.000 6.166
ATOMIC_POSITIONS angstrom
Ba 2.237 2.237 0.000
Ba 0.000 0.000 3.083
Cu 0.000 0.000 0.000
Ir 2.237 2.237 3.083



Entry 8:
! PBEsol Ba2CuIr, relaxed; values from VASP
! - Formation enthalpy at 0 K: 0.174 eV/atom
! - E above lowest polymorph: 0.184 eV per atom
! - Space-group type: Fm-3m
&SYSTEM
  ibrav = 0, nat = 4, ntyp = 3
/
ATOMIC_SPECIES
Ba 137.33 Ba.upf
Ir 192.22 Ir.upf
Cu 63.55 Cu.upf
CELL_PARAMETERS angstrom
5.311 0.000 0.000
2.656 4.599 -0.004
2.656 1.536 4.335
ATOMIC_POSITIONS angstrom
Ba 5.311 1.534 1.083
Ba 5.311 4.601 3.248
Ir 2.656 3.067 2.166
Cu 2.656 0.000 0.000



Entry 9:
! PBEsol KBa3Cu, relaxed; values from VASP
! - Formation enthalpy at 0 K: 0.084 eV/atom
! - E above lowest polymorph: 0.000 eV per atom
! - Space-group type: Pm-3m
&SYSTEM
  ibrav = 0, nat = 5, ntyp = 3
/
ATOMIC_SPECIES
Ba 137.33 Ba.upf
Cu 63.55 Cu.upf
K 39.10 K.upf
CELL_PARAMETERS angstrom
6.390 0.000 0.000
0.000 6.390 0.000
0.000 0.000 6.390
ATOMIC_POSITIONS angstrom
Ba 0.000 0.000 3.195
Ba 0.000 3.195 0.000
Ba 3.195 0.000 0.000
Cu 0.000 0.000 0.000
K 3.195 3.195 3.195



Entry 10:
! PBEsol KBa2Cu, relaxed; values from VASP
! - Formation enthalpy at 0 K: 0.086 eV/atom
! - E above lowest polymorph: 0.000 eV per atom
! - Space-group type: P2/m
&SYSTEM
  ibrav = 0, nat = 4, ntyp = 3
/
ATOMIC_SPECIES
Cu 63.55 Cu.upf
Ba 137.33 Ba.upf
K 39.10 K.upf
CELL_PARAMETERS angstrom
-3.150 2.395 -0.189
-1.562 -1.804 3.161
5.132 7.275 6.650
ATOMIC_POSITIONS angstrom
Cu -2.356 0.295 1.486
Ba 0.837 1.188 1.095
Ba 2.732 4.283 8.715
K 0.210 3.933 4.811



Entry 11:
! PBEsol KBaCu2, relaxed; values from VASP
! - Formation enthalpy at 0 K: 0.377 eV/atom
! - E above lowest polymorph: 0.047 eV per atom
! - Space-group type: P4/mmm
&SYSTEM
  ibrav = 0, nat = 4, ntyp = 3
/
ATOMIC_SPECIES
Ba 137.33 Ba.upf
Cu 63.55 Cu.upf
K 39.10 K.upf
CELL_PARAMETERS angstrom
3.854 0.000 0.000
0.000 5.393 0.000
0.000 0.000 5.394
ATOMIC_POSITIONS angstrom
Ba 1.927 0.000 2.697
Cu 0.000 0.000 0.000
Cu 0.000 2.696 2.697
K 1.927 2.696 0.000



Entry 12:
! PBEsol KBaCu2, relaxed; values from VASP
! - Formation enthalpy at 0 K: 0.331 eV/atom
! - E above lowest polymorph: 0.000 eV per atom
! - Space-group type: P4mm
&SYSTEM
  ibrav = 0, nat = 4, ntyp = 3
/
ATOMIC_SPECIES
K 39.10 K.upf
Ba 137.33 Ba.upf
Cu 63.55 Cu.upf
CELL_PARAMETERS angstrom
-1.538 1.227 2.881
-1.147 -3.207 0.753
7.798 -1.647 4.864
ATOMIC_POSITIONS angstrom
K 3.228 -0.681 2.013
Ba 5.256 -2.384 5.932
Cu 0.690 -0.146 0.431
Cu -0.161 -1.240 2.554



The records above yield E_tot values of -5.90 -2.37 -5.14 -4.62 -5.14 -4.56 -4.22 -4.44 -2.30 -2.36 -2.61 -2.66 eV/atom, respectively.